--- A ---
# HoTeAsO

A geometry-optimized HoTeAsO structure (PBE, OQMD via LeMat-Bulk).

Calculated values
Total magnetization in μB per cell: 0.003
Symmetry: P4/nmm
Mass density in Mg/m³: 7.826

Cell lengths 5.584, 5.584, 5.219 Å; angles 90.00, 90.00, 90.00 degrees
Fractional positions:
O 0.250 0.750 0.000
Ho 0.750 0.250 0.500
Te 0.750 0.750 0.880
Te 0.250 0.250 0.120
As 0.250 0.250 0.630
O 0.750 0.250 0.000
Ho 0.250 0.750 0.500
As 0.750 0.750 0.370

---

--- B ---
# HoTeAsO

A geometry-optimized HoTeAsO structure (PBE, OQMD via LeMat-Bulk).

Calculated values
Total magnetization in μB per cell: 0.004
Symmetry: Pmc2_1
Mass density in Mg/m³: 5.805

Cell lengths 3.710, 7.331, 8.065 Å; angles 90.00, 90.00, 90.00 degrees
Fractional positions:
As 0.000 0.438 0.297
O 0.500 0.888 0.439
Ho 0.000 0.226 0.985
Ho 0.000 0.774 0.485
Te 0.500 0.357 0.532
O 0.500 0.112 0.939
Te 0.500 0.643 0.032
As 0.000 0.562 0.797

---

--- C ---
# HoTeAsO

A geometry-optimized HoTeAsO structure (PBE, OQMD via LeMat-Bulk).

Calculated values
Total magnetization in μB per cell: 0.007
Symmetry: Pmc2_1
Mass density in Mg/m³: 5.372

Cell lengths 5.571, 7.138, 5.961 Å; angles 90.00, 90.00, 90.00 degrees
Fractional positions:
As 0.000 0.812 0.495
Ho 0.500 0.318 0.983
O 0.500 0.535 0.769
Te 0.000 0.177 0.506
O 0.500 0.465 0.269
Te 0.000 0.823 0.006
As 0.000 0.188 0.995
Ho 0.500 0.682 0.483

---

Best to worst by energy: B, C, A.

---

--- A ---
# HoTlAsO

A geometry-optimized HoTlAsO structure (PBE, OQMD via LeMat-Bulk).

Calculated values
Total magnetization in μB per cell: 0.001
Symmetry: Pmc2_1
Mass density in Mg/m³: 7.596

Cell lengths 3.460, 9.958, 5.840 Å; angles 90.00, 90.00, 90.00 degrees
Fractional positions:
As 0.000 0.127 0.928
As 0.000 0.873 0.428
Tl 0.500 0.387 0.987
O 0.500 0.716 0.907
Tl 0.500 0.613 0.487
O 0.500 0.284 0.407
Ho 0.000 0.831 0.931
Ho 0.000 0.169 0.431

---

--- B ---
# HoTlAsO

A geometry-optimized HoTlAsO structure (PBE, OQMD via LeMat-Bulk).

Calculated values
Total magnetization in μB per cell: 0.081
Symmetry: P4/nmm
Mass density in Mg/m³: 8.566

Cell lengths 4.630, 4.630, 8.323 Å; angles 90.00, 90.00, 90.00 degrees
Fractional positions:
O 0.750 0.250 0.000
As 0.250 0.250 0.685
Tl 0.250 0.250 0.098
Ho 0.750 0.250 0.500
As 0.750 0.750 0.315
Ho 0.250 0.750 0.500
O 0.250 0.750 0.000
Tl 0.750 0.750 0.902

---

Best to worst by energy: A, B.

---

--- A ---
# HoTlAsO

A geometry-optimized HoTlAsO structure (PBE, OQMD via LeMat-Bulk).

Calculated values
Total magnetization in μB per cell: 0.002
Symmetry: Pmc2_1
Mass density in Mg/m³: 7.009

Cell lengths 5.190, 7.368, 5.702 Å; angles 90.00, 90.00, 90.00 degrees
Fractional positions:
O 0.500 0.109 0.874
Tl 0.000 0.278 0.936
Ho 0.500 0.849 0.013
As 0.000 0.699 0.931
As 0.000 0.301 0.431
Ho 0.500 0.151 0.513
Tl 0.000 0.722 0.436
O 0.500 0.891 0.374

---

--- B ---
# HoTlAsO

A geometry-optimized HoTlAsO structure (PBE, OQMD via LeMat-Bulk).

Calculated values
Total magnetization in μB per cell: 0.054
Symmetry: P4/nmm
Mass density in Mg/m³: 9.088

Cell lengths 4.170, 4.170, 9.674 Å; angles 90.00, 90.00, 90.00 degrees
Fractional positions:
Tl 0.500 0.500 0.500
Tl 0.000 0.000 0.500
Ho 0.000 0.500 0.900
O 0.500 0.500 0.000
As 0.000 0.500 0.272
Ho 0.500 0.000 0.100
O 0.000 0.000 0.000
As 0.500 0.000 0.728

---

--- C ---
# HoTlAsO

A geometry-optimized HoTlAsO structure (PBE, OQMD via LeMat-Bulk).

Calculated values
Total magnetization in μB per cell: 0.002
Symmetry: P4/nmm
Mass density in Mg/m³: 9.310

Cell lengths 5.665, 5.665, 5.116 Å; angles 90.00, 90.00, 90.00 degrees
Fractional positions:
Ho 0.500 0.500 0.500
Tl 0.000 0.500 0.986
As 0.000 0.500 0.485
Ho 0.000 0.000 0.500
As 0.500 0.000 0.515
O 0.500 0.500 0.000
Tl 0.500 0.000 0.014
O 0.000 0.000 0.000

---

Best to worst by energy: B, A, C.